First-principles (PBE) data for a relaxed structure of RbNa10In3, as listed in Alexandria.

Properties
As for the volume: 551 Å³/f.u. The energy is -1.577 eV/atom. The calculation puts the density at 1.990 g/cm3. The total moment comes out at 0.00 μB/cell. Its space-group type is Fm-3m (225).

Lattice parameters (Å, degrees): 11.591 11.591 11.591 60.00 60.00 60.00
Element x y z (fractional)
Rb 0.250 0.250 0.250
Rb 0.750 0.750 0.750
Na 0.000 0.000 0.334
Na 0.000 0.000 0.666
Na 0.000 0.334 0.000
Na 0.000 0.334 0.666
Na 0.000 0.666 0.000
Na 0.000 0.666 0.334
Na 0.168 0.611 0.611
Na 0.334 0.000 0.000
Na 0.334 0.000 0.666
Na 0.334 0.666 0.000
Na 0.389 0.389 0.389
Na 0.389 0.389 0.832
Na 0.389 0.832 0.389
Na 0.611 0.168 0.611
Na 0.611 0.611 0.168
Na 0.611 0.611 0.611
Na 0.666 0.000 0.000
Na 0.666 0.000 0.334
Na 0.666 0.334 0.000
Na 0.832 0.389 0.389
In 0.267 0.267 0.733
In 0.267 0.733 0.267
In 0.267 0.733 0.733
In 0.733 0.267 0.267
In 0.733 0.267 0.733
In 0.733 0.733 0.267


First-principles (PBE) data for a relaxed structure of RbNaIn, as listed in Alexandria.

Properties
As for the volume: 117 Å³/f.u. The energy is -1.719 eV/atom. The calculation puts the density at 3.156 g/cm3. The total moment comes out at 0.00 μB/cell. Its energy above the most stable polymorph in this dataset is 2.4 meV per atom. Its space-group type is C2/m (12).

Lattice parameters (Å, degrees): 6.960 6.960 6.582 118.13 118.13 61.92
Element x y z (fractional)
Rb 0.132 0.132 0.382
Rb 0.868 0.868 0.618
Na 0.000 0.500 0.000
Na 0.500 0.000 0.000
In 0.500 0.500 0.000
In 0.500 0.500 0.500


First-principles (PBE) data for a relaxed structure of RbNa2In10, as listed in Alexandria.

Properties
As for the volume: 383 Å³/f.u. The energy is -2.431 eV/atom. The calculation puts the density at 5.547 g/cm3. The total moment comes out at 0.00 μB/cell. Its space-group type is Fmmm (69).

Lattice parameters (Å, degrees): 10.876 8.509 8.180 81.31 50.66 48.03
Element x y z (fractional)
Rb 0.000 0.000 0.000
Na 0.000 0.000 0.500
Na 0.500 0.500 0.000
In 0.000 0.500 0.000
In 0.001 0.357 0.643
In 0.272 0.496 0.504
In 0.357 0.001 0.999
In 0.496 0.272 0.728
In 0.500 0.000 0.500
In 0.504 0.728 0.272
In 0.643 0.999 0.001
In 0.728 0.504 0.496
In 0.999 0.643 0.357


The following calculated formation energy values (in meV per atom) correspond, in order, to the records above: 21 -44 -47.